Entry from Alexandria via LeMat-Bulk: a relaxed structure of AcPrHo4 (PBE-GGA).

**Distance to the lowest polymorph of the same formula**: 1.24 eV/f.u.
**Crystal system**: cubic
**DOS(E_F)**: 13.56 states/eV/f.u.

abc: 6.7486 6.7486 6.7486
angles: 60.00 60.00 60.00
Closest atoms and distances in Å follow each position.
Element x y z (fractional)
Ac (0.0000, 0.0000, 0.0000)  12 Ho 3.96, 4 Pr 4.13
Pr (0.2500, 0.2500, 0.2500)  12 Ho 3.95, 4 Ac 4.13
Ho (0.1273, 0.6242, 0.6242)  6 Ho 3.35-3.39
Ho (0.6242, 0.1273, 0.6242)  6 Ho 3.35-3.39
Ho (0.6242, 0.6242, 0.1273)  6 Ho 3.35-3.39
Ho (0.6242, 0.6242, 0.6242)  6 Ho 3.35-3.39